No. 1
{"formula": "LuScAlMo", "functional": "PBE", "state": "optimized geometry", "lattice": [[-2.129, 3.810, -2.075], [-3.411, -0.669, -3.357], [-4.613, 1.034, 1.003]], "species": ["Sc", "Mo", "Lu", "Al"], "fractional_positions": [[0.000, 0.000, 0.000], [0.750, 0.750, 0.750], [0.500, 0.500, 0.500], [0.250, 0.250, 0.250]], "n_ef_per_ev_fu": 5.4, "space_group": "F-43m (216)", "dft_energy_ev_per_atom": -6.392, "delta_e_f_ev_per_atom": -0.036}



No. 2
{"formula": "LaSc2Cu", "functional": "PBE", "state": "optimized geometry", "lattice": [[-1.597, 2.322, -5.241], [-5.583, -0.926, -1.841], [2.693, 1.887, 4.959]], "species": ["Sc", "La", "Sc", "Cu"], "fractional_positions": [[0.000, 0.000, 0.000], [0.750, 0.250, 0.500], [0.500, 0.500, 0.000], [0.250, 0.750, 0.500]], "n_ef_per_ev_fu": 6.2, "space_group": "I4/mmm (139)", "dft_energy_ev_per_atom": -5.242, "e_above_lowest_polymorph_mev_per_atom": 258, "delta_e_f_ev_per_atom": 0.180}



No. 3
{"formula": "Pm2Sm6In", "functional": "PBE", "state": "optimized geometry", "lattice": [[3.556, 0.000, -0.159], [0.000, 10.377, 0.000], [-1.419, -5.189, 8.167]], "species": ["Pm", "In", "Sm", "Pm", "Sm", "Sm", "Sm", "Sm", "Sm"], "fractional_positions": [[0.848, 0.348, 0.695], [0.000, 0.000, 0.000], [0.823, 0.985, 0.647], [0.152, 0.652, 0.305], [0.177, 0.338, 0.353], [0.823, 0.662, 0.647], [0.177, 0.015, 0.353], [0.500, 0.700, 0.000], [0.500, 0.300, 0.000]], "n_ef_per_ev_fu": 11.2, "space_group": "Immm (71)", "dft_energy_ev_per_atom": -4.521, "e_above_lowest_polymorph_mev_per_atom": 51, "delta_e_f_ev_per_atom": -0.015}



No. 4
{"formula": "Pm4Sm3Mg2", "functional": "PBE", "state": "optimized geometry", "lattice": [[5.068, 0.000, 0.000], [0.000, 7.866, 0.671], [-2.534, -3.056, 6.959]], "species": ["Mg", "Pm", "Pm", "Pm", "Pm", "Mg", "Sm", "Sm", "Sm"], "fractional_positions": [[0.332, 0.001, 0.663], [0.554, 0.330, 0.109], [0.222, 0.327, 0.444], [0.446, 0.670, 0.891], [0.778, 0.673, 0.556], [0.668, 0.999, 0.337], [0.112, 0.669, 0.225], [0.888, 0.331, 0.775], [0.000, 0.000, 0.000]], "n_ef_per_ev_fu": 11.1, "space_group": "C2/m (12)", "dft_energy_ev_per_atom": -4.033, "delta_e_f_ev_per_atom": 0.006}



No. 5
{"formula": "HfTeBr3", "functional": "PBE", "state": "optimized geometry", "lattice": [[6.531, 0.000, 0.000], [0.001, 7.826, 0.000], [0.000, 0.003, 6.892]], "species": ["Te", "Br", "Br", "Br", "Br", "Hf", "Br", "Br", "Hf", "Te"], "fractional_positions": [[0.414, 0.375, 0.701], [0.948, 0.947, 0.701], [0.448, 0.406, 0.201], [0.419, 0.834, 0.950], [0.919, 0.518, 0.952], [0.678, 0.691, 0.201], [0.419, 0.834, 0.451], [0.919, 0.518, 0.450], [0.178, 0.662, 0.701], [0.914, 0.978, 0.201]], "n_ef_per_ev_fu": 2.3, "space_group": "Pmn2_1 (31)", "dft_energy_ev_per_atom": -4.459, "formation_energy_uncorrected_ev_per_atom": -0.836}



No. 6
{"formula": "Na3Ag2Bi3", "functional": "PBE", "state": "optimized geometry", "lattice": [[-1.051, 1.561, 4.124], [-1.601, -5.838, -0.689], [16.028, -5.106, 6.016]], "species": ["Bi", "Bi", "Ag", "Na", "Bi", "Ag", "Ag", "Ag", "Na", "Na", "Na", "Bi", "Bi", "Na", "Bi", "Na"], "fractional_positions": [[0.633, 0.267, 0.471], [0.367, 0.733, 0.971], [0.226, 0.452, 0.383], [0.348, 0.696, 0.750], [0.633, 0.267, 0.029], [0.226, 0.452, 0.117], [0.774, 0.548, 0.883], [0.774, 0.548, 0.617], [0.935, 0.870, 0.379], [0.065, 0.130, 0.621], [0.652, 0.304, 0.250], [0.637, 0.273, 0.750], [0.367, 0.733, 0.529], [0.935, 0.870, 0.121], [0.363, 0.727, 0.250], [0.065, 0.130, 0.879]], "n_ef_per_ev_fu": 2.5, "space_group": "Cmcm (63)", "dft_energy_ev_per_atom": -2.833, "delta_e_f_ev_per_atom": -0.170}



No. 7
{"formula": "AlNi3Pb", "functional": "PBE", "state": "optimized geometry", "lattice": [[-0.267, 0.322, 4.366], [-4.276, -0.959, -0.191], [0.940, -4.268, 0.372]], "species": ["Pb", "Al", "Ni", "Ni", "Ni"], "fractional_positions": [[0.500, 0.500, 0.500], [0.000, 0.000, 0.000], [0.500, 0.000, 0.000], [0.000, 0.500, 0.000], [0.000, 0.000, 0.500]], "n_ef_per_ev_fu": 3.5, "space_group": "Pm-3m (221)", "dft_energy_ev_per_atom": -4.497, "e_above_lowest_polymorph_mev_per_atom": 0, "delta_e_f_ev_per_atom": 0.462}



No. 8
{"formula": "CuGeN2F", "functional": "PBE", "state": "optimized geometry", "lattice": [[-3.694, 0.698, -0.395], [-0.790, -2.859, 2.344], [0.137, 2.431, 3.012]], "species": ["N", "Cu", "F", "N", "Ge"], "fractional_positions": [[0.000, 0.500, 0.000], [0.500, 0.500, 0.500], [0.000, 0.000, 0.500], [0.500, 0.000, 0.000], [0.000, 0.000, 0.000]], "n_ef_per_ev_fu": 3.0, "space_group": "P4/mmm (123)", "dft_energy_ev_per_atom": -4.874, "formation_energy_uncorrected_ev_per_atom": 0.574, "e_above_lowest_polymorph_mev_per_atom": 0}



No. 9
{"formula": "Tb6Ho5Mg", "functional": "PBE", "state": "optimized geometry", "lattice": [[4.754, -0.004, -1.528], [-3.185, 8.566, -1.779], [0.356, -0.869, 9.263]], "species": ["Tb", "Tb", "Ho", "Tb", "Ho", "Mg", "Tb", "Ho", "Ho", "Tb", "Ho", "Tb"], "fractional_positions": [[0.749, 0.250, 0.250], [0.251, 0.750, 0.750], [0.500, 0.168, 0.832], [0.248, 0.081, 0.415], [0.500, 0.500, 0.500], [0.000, 0.000, 0.000], [0.752, 0.585, 0.919], [0.000, 0.335, 0.665], [0.500, 0.832, 0.168], [0.752, 0.919, 0.585], [0.000, 0.665, 0.335], [0.248, 0.415, 0.081]], "n_ef_per_ev_fu": 17.3, "space_group": "Immm (71)", "dft_energy_ev_per_atom": -4.336, "delta_e_f_ev_per_atom": 0.020}



No. 10
{"formula": "TeCSe", "functional": "PBE", "state": "optimized geometry", "lattice": [[-3.615, -1.860, 2.958], [3.483, -3.597, 3.289], [0.513, 4.253, 4.353]], "species": ["Se", "Te", "C", "Te", "Se", "C"], "fractional_positions": [[0.983, 0.092, 0.867], [0.588, 0.109, 0.361], [0.806, 0.943, 0.089], [0.866, 0.586, 0.014], [0.470, 0.633, 0.508], [0.648, 0.456, 0.287]], "space_group": "P1 (1)", "dft_energy_ev_per_atom": -4.492, "formation_energy_uncorrected_ev_per_atom": 0.791, "e_above_lowest_polymorph_mev_per_atom": 4}



No. 11
{"formula": "Ho6TlRu", "functional": "PBE", "state": "optimized geometry", "lattice": [[-3.201, -4.449, 4.114], [-2.231, -5.997, -2.513], [3.745, -6.121, 1.953]], "species": ["Tl", "Ru", "Ho", "Ho", "Ho", "Ho", "Ho", "Ho"], "fractional_positions": [[0.500, 0.500, 0.500], [0.000, 0.000, 0.000], [0.417, 0.791, 0.757], [0.789, 0.035, 0.757], [0.583, 0.209, 0.243], [0.036, 0.417, 0.757], [0.964, 0.583, 0.243], [0.211, 0.965, 0.243]], "n_ef_per_ev_fu": 10.3, "space_group": "P-1 (2)", "dft_energy_ev_per_atom": -4.891, "e_above_lowest_polymorph_mev_per_atom": 93, "delta_e_f_ev_per_atom": -0.002}



No. 12
{"formula": "Tb8Dy2In3", "functional": "PBE", "state": "optimized geometry", "lattice": [[-5.707, 1.471, 2.534], [-1.391, -1.762, 6.009], [1.974, 9.936, 6.795]], "species": ["In", "In", "Tb", "Tb", "Tb", "Tb", "Dy", "Tb", "Dy", "Tb", "Tb", "Tb", "In"], "fractional_positions": [[0.000, 0.000, 0.000], [0.811, 0.811, 0.567], [0.281, 0.281, 0.659], [0.220, 0.719, 0.341], [0.275, 0.275, 0.174], [0.780, 0.281, 0.659], [0.636, 0.636, 0.092], [0.281, 0.780, 0.659], [0.364, 0.364, 0.908], [0.719, 0.719, 0.341], [0.719, 0.220, 0.341], [0.725, 0.725, 0.826], [0.189, 0.189, 0.433]], "n_ef_per_ev_fu": 14.5, "space_group": "R-3m (166)", "dft_energy_ev_per_atom": -4.066, "delta_e_f_ev_per_atom": 0.123}



No. 13
{"formula": "Li2PmDyGe2", "functional": "PBE", "state": "optimized geometry", "lattice": [[4.442, 0.000, 0.000], [-2.221, 3.847, 0.000], [0.000, 0.000, 7.324]], "species": ["Dy", "Ge", "Ge", "Li", "Pm", "Li"], "fractional_positions": [[0.000, 0.000, 0.500], [0.333, 0.667, 0.259], [0.667, 0.333, 0.741], [0.333, 0.667, 0.728], [0.000, 0.000, 0.000], [0.667, 0.333, 0.272]], "n_ef_per_ev_fu": 1.2, "space_group": "P-3m1 (164)", "dft_energy_ev_per_atom": -4.420, "delta_e_f_ev_per_atom": -0.684}



No. 14
{"formula": "Ac12AgRh6", "functional": "PBE", "state": "optimized geometry", "lattice": [[8.807, 0.000, -3.114], [-4.404, 7.627, -3.114], [0.000, 0.000, 9.341]], "species": ["Ac", "Rh", "Ac", "Rh", "Rh", "Rh", "Ac", "Ac", "Ac", "Ac", "Rh", "Ac", "Ac", "Ac", "Ag", "Ac", "Rh", "Ac", "Ac"], "fractional_positions": [[0.818, 0.688, 0.506], [0.500, 0.867, 0.367], [0.182, 0.688, 0.870], [0.500, 0.133, 0.633], [0.133, 0.633, 0.500], [0.867, 0.367, 0.500], [0.688, 0.870, 0.182], [0.312, 0.130, 0.818], [0.494, 0.182, 0.312], [0.182, 0.312, 0.494], [0.367, 0.500, 0.867], [0.130, 0.818, 0.312], [0.870, 0.182, 0.688], [0.688, 0.506, 0.818], [0.000, 0.000, 0.000], [0.506, 0.818, 0.688], [0.633, 0.500, 0.133], [0.818, 0.312, 0.130], [0.312, 0.494, 0.182]], "n_ef_per_ev_fu": 13.4, "space_group": "Im-3 (204)", "dft_energy_ev_per_atom": -5.562, "delta_e_f_ev_per_atom": -0.496}



No. 15
{"formula": "Cr2AgP2", "functional": "PBE", "state": "optimized geometry", "lattice": [[-4.204, -0.895, -5.255], [0.966, -6.709, 0.370], [-2.221, -0.220, 1.814]], "species": ["P", "P", "Cr", "Ag", "Cr", "Cr", "Cr", "Ag", "P", "P"], "fractional_positions": [[0.356, 0.856, 0.000], [0.856, 0.644, 0.000], [0.641, 0.859, 0.500], [0.500, 0.500, 0.000], [0.359, 0.141, 0.500], [0.141, 0.641, 0.500], [0.859, 0.359, 0.500], [0.000, 0.000, 0.000], [0.644, 0.144, 0.000], [0.144, 0.356, 0.000]], "n_ef_per_ev_fu": 2.8, "space_group": "P4/mbm (127)", "dft_energy_ev_per_atom": -6.674, "delta_e_f_ev_per_atom": -0.091}



No. 16
{"formula": "CuNi2GeRh", "functional": "PBE", "state": "optimized geometry", "lattice": [[-0.764, -1.946, -3.994], [0.363, -4.196, 1.975], [-4.429, 0.013, 0.841]], "species": ["Cu", "Rh", "Ni", "Ge", "Ni"], "fractional_positions": [[0.000, 0.500, 0.000], [0.000, 0.000, 0.000], [0.500, 0.000, 0.000], [0.500, 0.500, 0.500], [0.000, 0.000, 0.500]], "n_ef_per_ev_fu": 5.4, "space_group": "P4/mmm (123)", "dft_energy_ev_per_atom": -4.417, "delta_e_f_ev_per_atom": 1.109}



No. 17
{"formula": "CaCr2Mo", "functional": "PBE", "state": "optimized geometry", "lattice": [[4.858, 0.004, -0.001], [3.897, 2.902, -0.001], [1.435, 0.476, 5.174]], "species": ["Cr", "Mo", "Ca", "Cr"], "fractional_positions": [[0.045, 0.045, 0.890], [0.462, 0.462, 0.611], [0.255, 0.255, 0.243], [0.739, 0.739, 0.756]], "n_ef_per_ev_fu": 3.5, "space_group": "Cm (8)", "dft_energy_ev_per_atom": -7.313, "e_above_lowest_polymorph_mev_per_atom": 204, "delta_e_f_ev_per_atom": 0.706}



No. 18
{"formula": "Gd2Re3Si5", "functional": "PBE", "state": "optimized geometry", "lattice": [[11.009, 0.000, 0.000], [0.000, 11.009, 0.000], [0.000, 0.000, 5.565]], "species": ["Si", "Gd", "Si", "Si", "Gd", "Si", "Gd", "Re", "Si", "Si", "Gd", "Si", "Re", "Gd", "Si", "Si", "Si", "Gd", "Si", "Re", "Si", "Re", "Re", "Si", "Re", "Re", "Si", "Gd", "Re", "Si", "Re", "Si", "Si", "Gd", "Si", "Re", "Si", "Re", "Si", "Re"], "fractional_positions": [[0.186, 0.528, 0.500], [0.737, 0.423, 0.000], [0.000, 0.000, 0.255], [0.686, 0.972, 0.000], [0.237, 0.077, 0.500], [0.172, 0.328, 0.750], [0.923, 0.237, 0.500], [0.377, 0.647, 0.500], [0.328, 0.828, 0.750], [0.528, 0.814, 0.500], [0.763, 0.923, 0.500], [0.500, 0.500, 0.245], [0.147, 0.877, 0.000], [0.577, 0.737, 0.000], [0.828, 0.672, 0.250], [0.028, 0.686, 0.000], [0.972, 0.314, 0.000], [0.077, 0.763, 0.500], [0.828, 0.672, 0.750], [0.123, 0.147, 0.000], [0.472, 0.186, 0.500], [0.500, 0.000, 0.750], [0.853, 0.123, 0.000], [0.500, 0.500, 0.755], [0.647, 0.623, 0.500], [0.353, 0.377, 0.500], [0.672, 0.172, 0.250], [0.263, 0.577, 0.000], [0.500, 0.000, 0.250], [0.314, 0.028, 0.000], [0.000, 0.500, 0.750], [0.814, 0.472, 0.500], [0.000, 0.000, 0.745], [0.423, 0.263, 0.000], [0.328, 0.828, 0.250], [0.877, 0.853, 0.000], [0.672, 0.172, 0.750], [0.000, 0.500, 0.250], [0.172, 0.328, 0.250], [0.623, 0.353, 0.500]], "n_ef_per_ev_fu": 4.9, "space_group": "P4/mnc (128)", "dft_energy_ev_per_atom": -9.855, "formation_energy_uncorrected_ev_per_atom": -0.592}



No. 19
{"formula": "Ca2PaGaN4", "functional": "PBE", "state": "optimized geometry", "lattice": [[3.418, 0.000, 0.000], [0.000, 5.810, -0.041], [0.000, -2.154, 5.704]], "species": ["Pa", "Ga", "N", "N", "Ca", "N", "N", "Ca"], "fractional_positions": [[0.500, 0.500, 0.000], [0.000, 0.000, 0.000], [0.500, 0.770, 0.791], [0.000, 0.280, 0.769], [0.000, 0.500, 0.500], [0.000, 0.720, 0.231], [0.500, 0.230, 0.209], [0.500, 0.000, 0.500]], "space_group": "P2/m (10)", "dft_energy_ev_per_atom": -7.227, "formation_energy_uncorrected_ev_per_atom": -0.998}



No. 20
{"formula": "TlCoRhSe3", "functional": "PBE", "state": "optimized geometry", "lattice": [[3.713, 0.000, 0.000], [0.000, 8.015, -0.616], [0.000, -3.687, 9.312]], "species": ["Se", "Co", "Se", "Rh", "Se", "Rh", "Se", "Se", "Se", "Tl", "Co", "Tl"], "fractional_positions": [[0.750, 0.905, 0.160], [0.250, 0.085, 0.606], [0.250, 0.095, 0.840], [0.750, 0.311, 0.837], [0.250, 0.544, 0.882], [0.250, 0.689, 0.163], [0.750, 0.456, 0.118], [0.250, 0.771, 0.442], [0.750, 0.229, 0.558], [0.750, 0.720, 0.707], [0.750, 0.915, 0.394], [0.250, 0.280, 0.293]], "n_ef_per_ev_fu": 2.9, "space_group": "P2_1/m (11)", "dft_energy_ev_per_atom": -4.880, "formation_energy_uncorrected_ev_per_atom": -0.334}